(1)
FeGeH | PBE | optimized geometry

Cell lengths 3.0088, 3.0088, 3.5994 Å; angles 90.00, 90.00, 120.00 degrees
Element x y z (fractional)
Fe 0.0000 0.0000 0.0000
Ge 0.6667 0.3333 0.5000
H 0.3333 0.6667 0.0000

Computed properties:
**Total energy**: -5.3616 eV/atom
**Crystal system**: hexagonal
**Distance to the lowest polymorph of the same formula**: 0.0 meV/atom

---

(2)
LaPm2MnN4 | PBE | optimized geometry

Cell lengths 6.1944, 6.1944, 12.0314 Å; angles 90.00, 90.00, 147.09 degrees
Element x y z (fractional)
La 0.1032 0.8968 0.7500
La 0.8968 0.1032 0.2500
Pm 0.3691 0.6309 0.5452
Pm 0.3691 0.6309 0.9548
Pm 0.6309 0.3691 0.0452
Pm 0.6309 0.3691 0.4548
Mn 0.1672 0.8328 0.2500
Mn 0.8328 0.1672 0.7500
N 0.0000 0.0000 0.0000
N 0.0000 0.0000 0.5000
N 0.2708 0.7292 0.1326
N 0.2708 0.7292 0.3674
N 0.4189 0.5811 0.7500
N 0.5811 0.4189 0.2500
N 0.7292 0.2708 0.6326
N 0.7292 0.2708 0.8674

Computed properties:
**Total energy**: -8.1786 eV/atom
**ΔE_f (raw)**: -8.5 eV per formula unit
**Crystal system**: orthorhombic

---

(3)
TbDy4Rh5 | PBE | optimized geometry

Cell lengths 3.4075, 3.4075, 17.3579 Å; angles 90.00, 90.00, 90.00 degrees
Element x y z (fractional)
Tb 0.0000 0.0000 0.0000
Dy 0.0000 0.0000 0.2005
Dy 0.0000 0.0000 0.4002
Dy 0.0000 0.0000 0.5998
Dy 0.0000 0.0000 0.7995
Rh 0.5000 0.5000 0.1009
Rh 0.5000 0.5000 0.3004
Rh 0.5000 0.5000 0.5000
Rh 0.5000 0.5000 0.6996
Rh 0.5000 0.5000 0.8991

Computed properties:
**Total energy**: -6.8415 eV/atom
**Crystal system**: tetragonal

---

(4)
NiHgBr2 | PBE | optimized geometry

Cell lengths 3.9209, 3.9248, 7.1595 Å; angles 90.00, 90.00, 90.00 degrees
Element x y z (fractional)
Ni 0.0000 0.0000 0.0000
Hg 0.5000 0.0000 0.5000
Br 0.0000 0.5000 0.5000
Br 0.5000 0.5000 0.0000

Computed properties:
**Total energy**: -2.0728 eV/atom
**ΔE_f (raw)**: 1.1 eV per formula unit
**Crystal system**: orthorhombic
**Distance to the lowest polymorph of the same formula**: 522.4 meV/atom

---

Repeat the fourth record exactly.
NiHgBr2 | PBE | optimized geometry

Cell lengths 3.9209, 3.9248, 7.1595 Å; angles 90.00, 90.00, 90.00 degrees
Element x y z (fractional)
Ni 0.0000 0.0000 0.0000
Hg 0.5000 0.0000 0.5000
Br 0.0000 0.5000 0.5000
Br 0.5000 0.5000 0.0000

Computed properties:
**Total energy**: -2.0728 eV/atom
**ΔE_f (raw)**: 1.1 eV per formula unit
**Crystal system**: orthorhombic
**Distance to the lowest polymorph of the same formula**: 522.4 meV/atom